Computed, not measured: a relaxed K2NiIrF crystal at the GGA+U level of DFT.

Geometry as CIF:
```
data_K2NiIrF
_symmetry_space_group_name_H-M 'P 4/m m m'
_symmetry_Int_Tables_number 123
_symmetry_space_group_name_Hall '-P 4 2'
_cell_length_a 6.3464
_cell_length_b 6.3464
_cell_length_c 3.9731
_cell_angle_alpha 90.00
_cell_angle_beta 90.00
_cell_angle_gamma 90.00
loop_
_atom_site_label
_atom_site_fract_x
_atom_site_fract_y
_atom_site_fract_z
K1 0.0000 0.5000 0.0000
Ni1 0.0000 0.0000 0.5000
Ir1 0.5000 0.5000 0.0000
F1 0.5000 0.5000 0.5000
```

Summary:
Its density is 3.6 Mg/m³. Its spin magnetization is 0.320 μB per formula unit. The value obtained for the final energy is -2.713 eV/atom.